1.
First-principles (PBE) data for a geometry-optimized Pr6GaTc2Br3 structure, as listed in Alexandria.

a = 7.327 Å, b = 7.327 Å, c = 8.215 Å
α = 98.52°, β = 98.52°, γ = 119.98°
Fractional coordinates of all 12 atoms:
Pr: 0.080 0.434 0.801
Pr: 0.212 0.212 0.199
Pr: 0.434 0.080 0.801
Pr: 0.566 0.920 0.199
Pr: 0.788 0.788 0.801
Pr: 0.920 0.566 0.199
Ga: 0.500 0.500 0.000
Tc: 0.166 0.834 0.000
Tc: 0.834 0.166 0.000
Br: 0.000 0.000 0.500
Br: 0.332 0.668 0.500
Br: 0.668 0.332 0.500

---

2.
First-principles (PBE) data for a geometry-optimized Pr3GaTeBr structure, as listed in Alexandria.

a = 9.037 Å, b = 4.280 Å, c = 10.278 Å
α = 90.00°, β = 96.60°, γ = 90.00°
Fractional coordinates of all 12 atoms:
Pr: 0.129 0.250 0.388
Pr: 0.166 0.250 0.797
Pr: 0.308 0.750 0.108
Pr: 0.692 0.250 0.892
Pr: 0.834 0.750 0.203
Pr: 0.871 0.750 0.612
Ga: 0.043 0.250 0.082
Ga: 0.957 0.750 0.918
Te: 0.425 0.750 0.822
Te: 0.575 0.250 0.178
Br: 0.358 0.750 0.411
Br: 0.642 0.250 0.589

---

3.
First-principles (PBE) data for a geometry-optimized PrTl2GaBr6 structure, as listed in Alexandria.

a = 8.363 Å, b = 8.363 Å, c = 8.363 Å
α = 58.11°, β = 58.11°, γ = 58.11°
Fractional coordinates of all 10 atoms:
Pr: 0.000 0.000 0.000
Tl: 0.297 0.297 0.297
Tl: 0.791 0.791 0.791
Ga: 0.506 0.506 0.506
Br: 0.138 0.342 0.742
Br: 0.214 0.869 0.650
Br: 0.342 0.742 0.138
Br: 0.650 0.214 0.869
Br: 0.742 0.138 0.342
Br: 0.869 0.650 0.214

---

Number 1: formation energy from raw total energies -0.622 eV/atom. Number 2: formation energy from raw total energies -0.982 eV/atom. Number 3: formation energy from raw total energies -1.209 eV/atom.